# PBE RbZn2Au, optimized geometry
data_RbZn2Au
_symmetry_space_group_name_H-M 'P 1'
_symmetry_Int_Tables_number 1
_symmetry_space_group_name_Hall 'P 1'
_cell_length_a 4.546
_cell_length_b 4.546
_cell_length_c 6.819
_cell_angle_alpha 70.53
_cell_angle_beta 70.53
_cell_angle_gamma 60.00
loop_
_atom_site_label
_atom_site_fract_x
_atom_site_fract_y
_atom_site_fract_z
Zn1 0.318 0.318 0.046
Zn2 0.682 0.682 0.954
Au1 0.000 0.000 0.000
Rb1 0.500 0.500 0.500
# **Offset from the most stable computed form**: 0.000 eV/atom
# **DOS at the Fermi energy**: 1.50 states/eV/f.u.
# **SG**: R-3m (166)
# **E**: -7.63 eV per formula unit
# **Magnetic moment**: 0.0 μB/cell
# **Energy relative to the elements**: -210 meV/atom

---

# PBE LiLaCr2, optimized geometry
data_LiLaCr2
_symmetry_space_group_name_H-M 'P 1'
_symmetry_Int_Tables_number 1
_symmetry_space_group_name_Hall 'P 1'
_cell_length_a 4.665
_cell_length_b 4.665
_cell_length_c 3.989
_cell_angle_alpha 90.00
_cell_angle_beta 90.00
_cell_angle_gamma 90.00
loop_
_atom_site_label
_atom_site_fract_x
_atom_site_fract_y
_atom_site_fract_z
Cr1 0.000 0.000 0.000
Cr2 0.500 0.500 0.000
La1 0.500 0.000 0.500
Li1 0.000 0.500 0.500
# **Offset from the most stable computed form**: 0.316 eV/atom
# **DOS at the Fermi energy**: 2.87 states/eV/f.u.
# **SG**: P4/mmm (123)
# **E**: -23.28 eV per formula unit
# **Magnetic moment**: 7.7 μB/cell
# **Energy relative to the elements**: 702 meV/atom

---

# PBE UAlFe, optimized geometry
data_UAlFe
_symmetry_space_group_name_H-M 'P 1'
_symmetry_Int_Tables_number 1
_symmetry_space_group_name_Hall 'P 1'
_cell_length_a 5.271
_cell_length_b 5.271
_cell_length_c 8.080
_cell_angle_alpha 90.00
_cell_angle_beta 90.00
_cell_angle_gamma 120.30
loop_
_atom_site_label
_atom_site_fract_x
_atom_site_fract_y
_atom_site_fract_z
U1 0.330 0.670 0.218
U2 0.675 0.325 0.334
U3 0.675 0.325 0.666
U4 0.330 0.670 0.782
Al1 0.997 0.003 0.260
Al2 0.997 0.003 0.740
Al3 0.830 0.659 0.000
Al4 0.341 0.170 0.000
Fe1 0.830 0.170 0.000
Fe2 0.170 0.340 0.500
Fe3 0.660 0.830 0.500
Fe4 0.166 0.834 0.500
# **DOS at the Fermi energy**: 4.15 states/eV/f.u.
# **SG**: Amm2 (38)
# **E**: -24.03 eV per formula unit
# **Magnetic moment**: 3.2 μB/cell
# **Energy relative to the elements**: -179 meV/atom

---

# PBE Tb2Pm7Tm3, optimized geometry
data_Tb2Pm7Tm3
_symmetry_space_group_name_H-M 'P 1'
_symmetry_Int_Tables_number 1
_symmetry_space_group_name_Hall 'P 1'
_cell_length_a 5.480
_cell_length_b 6.237
_cell_length_c 12.305
_cell_angle_alpha 90.20
_cell_angle_beta 90.00
_cell_angle_gamma 90.00
loop_
_atom_site_label
_atom_site_fract_x
_atom_site_fract_y
_atom_site_fract_z
Tb1 0.500 0.608 0.277
Tb2 0.500 0.392 0.723
Pm1 0.500 0.242 0.456
Pm2 0.500 0.758 0.544
Pm3 0.000 0.443 0.182
Pm4 0.000 0.000 0.000
Pm5 0.000 0.557 0.818
Pm6 0.500 0.914 0.828
Pm7 0.500 0.086 0.172
Tm1 0.500 0.500 0.000
Tm2 0.000 0.937 0.344
Tm3 0.000 0.063 0.656
# **Offset from the most stable computed form**: 0.202 eV/atom
# **DOS at the Fermi energy**: 18.49 states/eV/f.u.
# **SG**: P2/m (10)
# **E**: -52.44 eV per formula unit
# **Magnetic moment**: 0.0 μB/cell
# **Energy relative to the elements**: 291 meV/atom

---

# PBE Nd6Tl3Ru, optimized geometry
data_Nd6Tl3Ru
_symmetry_space_group_name_H-M 'P 1'
_symmetry_Int_Tables_number 1
_symmetry_space_group_name_Hall 'P 1'
_cell_length_a 5.477
_cell_length_b 9.539
_cell_length_c 11.644
_cell_angle_alpha 106.28
_cell_angle_beta 90.00
_cell_angle_gamma 90.00
loop_
_atom_site_label
_atom_site_fract_x
_atom_site_fract_y
_atom_site_fract_z
Nd1 0.250 0.459 0.088
Nd2 0.750 0.541 0.912
Nd3 0.250 0.122 0.151
Nd4 0.750 0.878 0.849
Nd5 0.250 0.691 0.665
Nd6 0.750 0.309 0.335
Nd7 0.250 0.211 0.500
Nd8 0.750 0.789 0.500
Nd9 0.250 0.851 0.331
Nd10 0.750 0.149 0.669
Nd11 0.250 0.097 0.856
Nd12 0.750 0.903 0.144
Tl1 0.250 0.509 0.380
Tl2 0.750 0.491 0.620
Tl3 0.250 0.404 0.783
Tl4 0.750 0.596 0.217
Tl5 0.250 0.773 0.976
Tl6 0.750 0.227 0.024
Ru1 0.250 0.962 0.596
Ru2 0.750 0.038 0.404
# **Offset from the most stable computed form**: 0.000 eV/atom
# **DOS at the Fermi energy**: 9.36 states/eV/f.u.
# **SG**: P2_1/m (11)
# **E**: -47.51 eV per formula unit
# **Magnetic moment**: 0.0 μB/cell
# **Energy relative to the elements**: -253 meV/atom

---

# PBE NiIr4Os2, optimized geometry
data_NiIr4Os2
_symmetry_space_group_name_H-M 'P 1'
_symmetry_Int_Tables_number 1
_symmetry_space_group_name_Hall 'P 1'
_cell_length_a 4.282
_cell_length_b 4.654
_cell_length_c 10.718
_cell_angle_alpha 90.00
_cell_angle_beta 90.00
_cell_angle_gamma 90.00
loop_
_atom_site_label
_atom_site_fract_x
_atom_site_fract_y
_atom_site_fract_z
Ni1 0.000 0.000 0.500
Ni2 0.000 0.500 0.000
Ir1 0.000 0.571 0.688
Ir2 0.000 0.429 0.312
Ir3 0.000 0.071 0.812
Ir4 0.000 0.929 0.188
Ir5 0.500 0.749 0.564
Ir6 0.500 0.251 0.436
Ir7 0.500 0.751 0.064
Ir8 0.500 0.249 0.936
Os1 0.500 0.747 0.825
Os2 0.500 0.253 0.175
Os3 0.500 0.247 0.675
Os4 0.500 0.753 0.325
# **DOS at the Fermi energy**: 7.36 states/eV/f.u.
# **SG**: Pbam (55)
# **E**: -61.13 eV per formula unit
# **Magnetic moment**: 0.0 μB/cell
# **Energy relative to the elements**: 365 meV/atom

---

# PBE CaZr2AlRe, optimized geometry
data_CaZr2AlRe
_symmetry_space_group_name_H-M 'P 1'
_symmetry_Int_Tables_number 1
_symmetry_space_group_name_Hall 'P 1'
_cell_length_a 4.993
_cell_length_b 5.046
_cell_length_c 4.993
_cell_angle_alpha 90.00
_cell_angle_beta 90.00
_cell_angle_gamma 90.00
loop_
_atom_site_label
_atom_site_fract_x
_atom_site_fract_y
_atom_site_fract_z
Re1 0.500 0.500 0.500
Ca1 0.000 0.500 0.000
Al1 0.000 0.000 0.000
Zr1 0.000 0.000 0.500
Zr2 0.500 0.000 0.000
# **DOS at the Fermi energy**: 8.21 states/eV/f.u.
# **SG**: P4/mmm (123)
# **E**: -28.30 eV per formula unit
# **Magnetic moment**: 0.0 μB/cell
# **Energy relative to the elements**: 1398 meV/atom

---

# PBE Zn8NiAu6, optimized geometry
data_Zn8NiAu6
_symmetry_space_group_name_H-M 'P 1'
_symmetry_Int_Tables_number 1
_symmetry_space_group_name_Hall 'P 1'
_cell_length_a 7.586
_cell_length_b 7.586
_cell_length_c 6.914
_cell_angle_alpha 56.73
_cell_angle_beta 56.73
_cell_angle_gamma 60.00
loop_
_atom_site_label
_atom_site_fract_x
_atom_site_fract_y
_atom_site_fract_z
Zn1 0.560 0.207 0.351
Zn2 0.793 0.119 0.649
Zn3 0.119 0.440 0.649
Zn4 0.661 0.661 0.018
Zn5 0.339 0.339 0.982
Zn6 0.881 0.560 0.351
Zn7 0.207 0.881 0.351
Zn8 0.440 0.793 0.649
Ni1 0.000 0.000 0.000
Au1 0.390 0.052 0.834
Au2 0.948 0.276 0.166
Au3 0.276 0.610 0.166
Au4 0.724 0.390 0.834
Au5 0.052 0.724 0.834
Au6 0.610 0.948 0.166
# **DOS at the Fermi energy**: 5.95 states/eV/f.u.
# **SG**: R-3 (148)
# **E**: -37.56 eV per formula unit
# **Magnetic moment**: 0.0 μB/cell
# **Energy relative to the elements**: -128 meV/atom